The following is a DFT calculation (PBEsol) of a relaxed structure of Sc2SbPb.

Summary:
uncorrected energy = -24.31 eV for the cell shown
energy relative to the elements, uncorrected = -0.64 eV per atom
energy above the lowest structure with this stoichiometry = 4 meV per atom
DOS(E_F) = 1.69 states/eV per cell

Structure (extended XYZ):
```
4
Lattice="3.9382 0.0000 0.0000 1.9691 3.4106 0.0000 1.9691 1.1369 7.4254" Properties=species:S:1:pos:R:3 pbc="T T T"
Pb 0.0000 0.0000 0.0000
Sb 3.9382 2.2737 3.7127
Sc 5.9073 3.4106 5.4450
Sc 1.9691 1.1369 1.9804
```



The following is a DFT calculation (PBEsol) of a relaxed structure of Sc2SbPb.

Summary:
uncorrected energy = -24.33 eV for the cell shown
energy relative to the elements, uncorrected = -0.64 eV per atom
energy above the lowest structure with this stoichiometry = 0 meV per atom
DOS(E_F) = 2.01 states/eV per cell

Structure (extended XYZ):
```
4
Lattice="4.2136 0.0000 0.0000 0.0000 4.2136 0.0000 -2.1068 -2.1068 5.1222" Properties=species:S:1:pos:R:3 pbc="T T T"
Pb 2.1068 2.1068 0.0000
Sb 2.1068 0.0000 2.5611
Sc 0.0000 0.0000 0.0000
Sc 0.0000 2.1068 2.5611
```



The following is a DFT calculation (PBEsol) of a relaxed structure of Sc2SbPb.

Summary:
uncorrected energy = -24.01 eV for the cell shown
energy relative to the elements, uncorrected = -0.56 eV per atom
energy above the lowest structure with this stoichiometry = 80 meV per atom
DOS(E_F) = 3.43 states/eV per cell

Structure (extended XYZ):
```
4
Lattice="-0.6686 -3.1320 2.4738 -1.7896 -2.1604 -3.2189 4.8121 -2.0524 -1.2978" Properties=species:S:1:pos:R:3 pbc="T T T"
Pb -1.2291 -2.6462 -0.3725
Sb 2.0718 -2.5922 0.5880
Sc 0.0000 0.0000 0.0000
Sc 1.5113 -2.1064 -2.2584
```



The following is a DFT calculation (PBEsol) of a relaxed structure of ScSbPb2.

Summary:
uncorrected energy = -20.16 eV for the cell shown
energy relative to the elements, uncorrected = -0.25 eV per atom
DOS(E_F) = 2.64 states/eV per cell

Structure (extended XYZ):
```
4
Lattice="4.3966 0.0000 0.0000 0.0000 4.3966 0.0000 -2.1983 -2.1983 5.3690" Properties=species:S:1:pos:R:3 pbc="T T T"
Pb 2.1983 0.0000 2.6845
Pb 0.0000 2.1983 2.6845
Sb 2.1983 2.1983 0.0000
Sc 0.0000 0.0000 0.0000
```



The following is a DFT calculation (PBEsol) of a relaxed structure of ScSbPb2.

Summary:
uncorrected energy = -20.05 eV for the cell shown
energy relative to the elements, uncorrected = -0.22 eV per atom
DOS(E_F) = 3.05 states/eV per cell

Structure (extended XYZ):
```
4
Lattice="-1.1271 -3.0792 1.0402 2.2478 0.0567 2.6035 -6.0407 3.9440 5.1295" Properties=species:S:1:pos:R:3 pbc="T T T"
Pb -5.8861 3.8431 4.9982
Pb -0.9522 -0.5237 3.1062
Sb -3.2311 2.1096 2.7437
Sc -3.9118 1.4086 5.6193
```



The following is a DFT calculation (PBEsol) of a relaxed structure of ScSbPb2.

Summary:
uncorrected energy = -19.20 eV for the cell shown
energy relative to the elements, uncorrected = -0.01 eV per atom
DOS(E_F) = 4.31 states/eV per cell

Structure (extended XYZ):
```
4
Lattice="-0.6751 3.3232 0.0145 -1.5017 -0.2919 -3.0264 -7.8701 -1.6166 4.0609" Properties=species:S:1:pos:R:3 pbc="T T T"
Pb -5.7463 -1.1803 2.9651
Pb -2.1238 -0.4362 1.0959
Sb -1.0884 1.5156 -1.5060
Sc -5.0234 0.7073 0.5245
```



The following is a DFT calculation (PBEsol) of a relaxed structure of SbPbSe4.

Summary:
uncorrected energy = -21.82 eV for the cell shown
energy relative to the elements, uncorrected = 0.36 eV per atom
DOS(E_F) = 3.65 states/eV per cell

Structure (extended XYZ):
```
6
Lattice="-4.3362 0.6256 3.7627 -2.1638 -4.6200 2.7064 0.9477 -0.7448 5.6479" Properties=species:S:1:pos:R:3 pbc="T T T"
Pb -4.1642 -3.5544 9.0877
Sb 0.0000 0.0000 0.0000
Se -2.0787 -1.7743 4.5364
Se -1.6025 -2.1485 7.3743
Se -4.2574 -1.4599 6.4270
Se -3.1659 -4.0957 5.8963
```



The following is a DFT calculation (PBEsol) of a relaxed structure of Sb2PbSe2.

Summary:
uncorrected energy = -41.86 eV for the cell shown
energy relative to the elements, uncorrected = -0.02 eV per atom
DOS(E_F) = 4.61 states/eV per cell

Structure (extended XYZ):
```
10
Lattice="-1.9143 -0.5734 3.1399 5.7846 -5.3921 2.5421 4.1573 6.1876 3.6646" Properties=species:S:1:pos:R:3 pbc="T T T"
Pb 0.0000 0.0000 0.0000
Pb 4.9710 0.3978 3.1033
Sb 5.5935 3.3751 4.0266
Sb 7.6249 -0.6024 4.5388
Sb 4.3484 -2.5795 2.1801
Sb 2.3170 1.3979 1.6679
Se 2.9136 2.9505 4.5211
Se 6.3858 1.1175 6.3032
Se 5.1139 -2.7284 4.8255
Se 1.6418 -0.8953 3.0434
```



The following is a DFT calculation (PBEsol) of a relaxed structure of TcSb2PbSe.

Summary:
uncorrected energy = -26.99 eV for the cell shown
energy relative to the elements, uncorrected = 0.25 eV per atom
DOS(E_F) = 1.80 states/eV per cell

Structure (extended XYZ):
```
5
Lattice="-3.6717 1.5341 3.0443 -1.0097 -4.7629 1.1824 3.4240 0.2660 3.9955" Properties=species:S:1:pos:R:3 pbc="T T T"
Pb 1.7120 0.1330 1.9977
Sb -0.5048 -2.3815 0.5912
Sb -1.8358 0.7671 1.5222
Tc 0.0000 0.0000 0.0000
Se -0.6287 -1.4814 4.1111
```



The following is a DFT calculation (PBEsol) of a relaxed structure of SiSbPb2.

Summary:
uncorrected energy = -17.42 eV for the cell shown
energy relative to the elements, uncorrected = 0.22 eV per atom
energy above the lowest structure with this stoichiometry = 41 meV per atom
DOS(E_F) = 2.05 states/eV per cell

Structure (extended XYZ):
```
4
Lattice="-1.9502 2.7963 -1.0278 -2.8200 -2.1288 -0.4409 -2.1716 1.2942 7.6418" Properties=species:S:1:pos:R:3 pbc="T T T"
Pb -2.0940 1.2480 7.3688
Pb -2.9617 0.6774 1.2946
Sb -1.1992 0.7147 4.2198
Si -3.9444 1.2630 4.7527
```



The following is a DFT calculation (PBEsol) of a relaxed structure of SiSb2Pb.

Summary:
uncorrected energy = -17.34 eV for the cell shown
energy relative to the elements, uncorrected = 0.38 eV per atom
energy above the lowest structure with this stoichiometry = 9 meV per atom
DOS(E_F) = 2.13 states/eV per cell

Structure (extended XYZ):
```
4
Lattice="-2.1050 -2.1907 3.5507 0.5232 -4.0362 -2.1801 4.0888 -0.5845 2.0634" Properties=species:S:1:pos:R:3 pbc="T T T"
Pb -1.0525 -1.0953 1.7753
Sb 2.0444 -0.2923 1.0317
Sb 0.2616 -2.0181 -1.0900
Si 1.2535 -3.4057 1.7170
```



The following is a DFT calculation (PBEsol) of a relaxed structure of SiSbPb2.

Summary:
uncorrected energy = -17.36 eV for the cell shown
energy relative to the elements, uncorrected = 0.23 eV per atom
energy above the lowest structure with this stoichiometry = 55 meV per atom
DOS(E_F) = 1.81 states/eV per cell

Structure (extended XYZ):
```
4
Lattice="-0.2491 3.3165 -1.6023 1.3689 -1.7643 -3.8646 -6.7531 -2.0255 1.1101" Properties=species:S:1:pos:R:3 pbc="T T T"
Pb -1.7120 0.3178 -3.3290
Pb -3.9213 -0.7910 -1.0278
Sb -0.1245 1.6583 -0.8011
Si 0.6844 -0.8821 -1.9323
```